Record 1
First-principles (PBE-GGA) data for a relaxed SiIrSN2 crystal, as listed in Alexandria.

The distance to the lowest polymorph of the same formula comes out at 0 meV per atom. The total energy is -6.25 eV/atom. For the uncorrected formation energy, the calculation gives 0.76 eV/atom.

The space group is P4/mmm (No. 123) and the conventional cell measures 3.355, 3.355 and 8.286 Å, with angles of 90.00, 90.00 and 90.00 degrees. The asymmetric unit holds Si at (0.000, 0.000, 0.000), Ir at (0.500, 0.500, 0.500), S at (0.000, 0.000, 0.500) and N at (0.000, 0.500, 0.000).

=====

Record 2
First-principles (PBE-GGA) data for a relaxed SnIrPbCl2 crystal, as listed in Alexandria.

The total energy is -3.57 eV/atom. For the uncorrected formation energy, the calculation gives 0.49 eV/atom.

The space group is P4/mmm (No. 123) and the conventional cell measures 5.381, 5.381 and 5.338 Å, with angles of 90.00, 90.00 and 90.00 degrees. The asymmetric unit holds Sn at (0.000, 0.000, 0.000), Ir at (0.500, 0.500, 0.000), Pb at (0.500, 0.500, 0.500) and Cl at (0.000, 0.500, 0.500).

=====

Record 3
First-principles (PBE-GGA) data for a relaxed YSc2Ge crystal, as listed in Alexandria.

The total energy is -5.75 eV/atom. The value obtained for the calculated formation energy is 0.1832 eV/atom.

The space group is R-3m (No. 166, hexagonal axes) and the conventional cell measures 3.3213, 3.3213 and 32.8511 Å, with angles of 90.00, 90.00 and 120.00 degrees. The asymmetric unit holds Y at (0.0000, 0.0000, 0.0000), Sc at (0.0000, 0.0000, 0.4170) and Ge at (0.0000, 0.0000, 0.5000).

=====

Record 4
First-principles (PBE-GGA) data for a relaxed PmTcB crystal, as listed in Alexandria.

The distance to the lowest polymorph of the same formula comes out at 27 meV per atom. The total energy is -7.37 eV/atom. The value obtained for the calculated formation energy is -0.1099 eV/atom.

The space group is P-6m2 (No. 187) and the conventional cell measures 3.7685, 3.7685 and 4.2709 Å, with angles of 90.00, 90.00 and 120.00 degrees. The asymmetric unit holds Pm at (0.0000, 0.0000, 0.0000), Tc at (0.6667, 0.3333, 0.5000) and B at (0.3333, 0.6667, 0.5000).

=====

Record 5
First-principles (PBE-GGA) data for a relaxed PPtCl2 crystal, as listed in Alexandria.

The distance to the lowest polymorph of the same formula comes out at 1272 meV per atom. The total energy is -3.09 eV/atom. For the uncorrected formation energy, the calculation gives 0.70 eV/atom.

The space group is R-3m (No. 166, hexagonal axes) and the conventional cell measures 3.2998, 3.2998 and 23.5911 Å, with angles of 90.00, 90.00 and 120.00 degrees. The asymmetric unit holds P at (0.0000, 0.0000, 0.0000), Pt at (0.0000, 0.0000, 0.5000) and Cl at (0.0000, 0.0000, 0.2406).

=====

Record 6
First-principles (PBE-GGA) data for a relaxed CaIn3Re crystal, as listed in Alexandria.

The distance to the lowest polymorph of the same formula comes out at 0 meV per atom. The total energy is -4.37 eV/atom. The value obtained for the calculated formation energy is 0.1675 eV/atom.

The space group is Pm-3m (No. 221) and the conventional cell measures 5.222, 5.222 and 5.222 Å, with angles of 90.00, 90.00 and 90.00 degrees. The asymmetric unit holds Ca at (0.000, 0.000, 0.000), In at (0.000, 0.500, 0.500) and Re at (0.500, 0.500, 0.500).

=====

Record 7
First-principles (PBE-GGA) data for a relaxed NiOsRuW crystal, as listed in Alexandria.

The total energy is -9.68 eV/atom. The value obtained for the calculated formation energy is 0.1315 eV/atom.

The space group is F-43m (No. 216) and the conventional cell measures 6.084, 6.084 and 6.084 Å, with angles of 90.00, 90.00 and 90.00 degrees. The asymmetric unit holds Ni at (0.000, 0.000, 0.000), Os at (0.250, 0.250, 0.750), Ru at (0.250, 0.250, 0.250) and W at (0.000, 0.000, 0.500).

=====

Record 8
First-principles (PBE-GGA) data for a relaxed BaNaSr2 crystal, as listed in Alexandria.

The distance to the lowest polymorph of the same formula comes out at 71 meV per atom. The total energy is -1.57 eV/atom. The value obtained for the calculated formation energy is 0.0809 eV/atom.

The space group is Fm-3m (No. 225) and the conventional cell measures 9.497, 9.497 and 9.497 Å, with angles of 90.00, 90.00 and 90.00 degrees. The asymmetric unit holds Ba at (0.000, 0.000, 0.000), Na at (0.000, 0.000, 0.500) and Sr at (0.250, 0.250, 0.250).

=====

Record 9
First-principles (PBE-GGA) data for a relaxed Li4Np3Se8 crystal, as listed in Alexandria.

The distance to the lowest polymorph of the same formula comes out at 39 meV per atom. The total energy is -6.03 eV/atom. For the uncorrected formation energy, the calculation gives -1.08 eV/atom.

The space group is C2/m (No. 12) and the conventional cell measures 10.997, 11.364 and 7.913 Å, with angles of 90.00, 133.31 and 90.00 degrees. The asymmetric unit holds Li at (0.000, 0.000, 0.000), Li at (0.000, 0.500, 0.500), Li at (0.250, 0.250, 0.000), Np at (0.000, 0.500, 0.000), Np at (0.250, 0.250, 0.500), Se at (0.000, 0.247, 0.000), Se at (0.000, 0.254, 0.500), Se at (0.233, 0.500, 0.982) and Se at (0.245, 0.000, 0.505).

=====

Record 10
First-principles (PBE-GGA) data for a relaxed Sm2MnNi3As4 crystal, as listed in Alexandria.

The total energy is -6.22 eV/atom. The value obtained for the calculated formation energy is -0.7603 eV/atom.

The space group is P-4m2 (No. 115) and the conventional cell measures 4.193, 4.193 and 9.674 Å, with angles of 90.00, 90.00 and 90.00 degrees. The asymmetric unit holds Sm at (0.000, 0.500, 0.242), Mn at (0.000, 0.000, 0.500), Ni at (0.000, 0.500, 0.882), Ni at (0.500, 0.500, 0.500), As at (0.000, 0.000, 0.000), As at (0.000, 0.500, 0.636) and As at (0.500, 0.500, 0.000).

=====

Record 11
First-principles (PBE-GGA) data for a relaxed La2EuMg crystal, as listed in Alexandria.

The distance to the lowest polymorph of the same formula comes out at 0 meV per atom. The total energy is -5.45 eV/atom. The value obtained for the calculated formation energy is -0.0181 eV/atom.

The space group is P4/mmm (No. 123) and the conventional cell measures 3.954, 3.954 and 9.053 Å, with angles of 90.00, 90.00 and 90.00 degrees. The asymmetric unit holds La at (0.000, 0.000, 0.214), Eu at (0.500, 0.500, 0.500) and Mg at (0.500, 0.500, 0.000).